Record 1
VASP calculation (GGA-PBE) on a geometry-optimized Ga3BiAu structure.

Cell: 5.0373 5.0373 5.0373 Å, 90.00 90.00 90.00°
Element x y z (fractional)
Au  0.0000  0.0000  0.0000
Bi  0.5000  0.5000  0.5000
Ga  0.0000  0.5000  0.0000
Ga  0.0000  0.0000  0.5000
Ga  0.5000  0.0000  0.0000

Calculated values
Total magnetization = 0.00 μB/cell
N(E_F) = 3.6 states/eV/cell
Final energy = -3.127 eV/atom
Energy relative to the elements = 121 meV/atom
ΔE to the lowest computed polymorph = 0 meV/atom

Record 2
VASP calculation (GGA-PBE) on a geometry-optimized GaBi2Au3 structure.

Cell: 4.1881 4.2008 8.3512 Å, 104.58 104.53 89.96°
Element x y z (fractional)
Ga  0.4328  0.1223  0.8740
Bi  0.1156  0.2533  0.2353
Bi  0.7542  0.8920  0.5126
Au  0.9332  0.7384  0.8740
Au  0.3101  0.4294  0.6246
Au  0.5594  0.6787  0.1233

Calculated values
Total magnetization = 0.00 μB/cell
N(E_F) = 3.0 states/eV/cell
Final energy = -3.507 eV/atom
Energy relative to the elements = -70 meV/atom

Record 3
VASP calculation (GGA-PBE) on a geometry-optimized GaBi3Au structure.

Cell: 5.6161 5.6161 5.6161 Å, 90.00 90.00 90.00°
Element x y z (fractional)
Au  0.0000  0.0000  0.0000
Bi  0.0000  0.5000  0.0000
Bi  0.0000  0.0000  0.5000
Bi  0.5000  0.0000  0.0000
Ga  0.5000  0.5000  0.5000

Calculated values
Total magnetization = 0.00 μB/cell
N(E_F) = 3.5 states/eV/cell
Final energy = -3.101 eV/atom
Energy relative to the elements = 489 meV/atom
ΔE to the lowest computed polymorph = 478 meV/atom

Record 4
VASP calculation (GGA-PBE) on a geometry-optimized Ga2Bi2Au structure.

Cell: 3.7314 3.7314 9.2035 Å, 78.30 78.30 90.00°
Element x y z (fractional)
Au  0.0000  0.0000  0.0000
Bi  0.4017  0.4017  0.1966
Bi  0.5983  0.5983  0.8034
Ga  0.7500  0.2500  0.5000
Ga  0.2500  0.7500  0.5000

Calculated values
Total magnetization = 0.00 μB/cell
N(E_F) = 3.1 states/eV/cell
Final energy = -3.304 eV/atom
Energy relative to the elements = 115 meV/atom
ΔE to the lowest computed polymorph = 90 meV/atom

Record 5
VASP calculation (GGA-PBE) on a geometry-optimized GaBi2Au7 structure.

Cell: 3.9020 3.9020 14.1182 Å, 90.00 90.00 90.00°
Element x y z (fractional)
Ga  0.5000  0.5000  0.0000
Bi  0.5000  0.0000  0.7503
Bi  0.0000  0.5000  0.2497
Au  0.0000  0.5000  0.8538
Au  0.5000  0.0000  0.3487
Au  0.5000  0.0000  0.1462
Au  0.0000  0.5000  0.6513
Au  0.0000  0.0000  0.5000
Au  0.0000  0.0000  0.0000
Au  0.5000  0.5000  0.5000

Calculated values
Total magnetization = 0.00 μB/cell
N(E_F) = 4.1 states/eV/cell
Final energy = -3.379 eV/atom
Energy relative to the elements = -6 meV/atom

Record 6
VASP calculation (GGA-PBE) on a geometry-optimized Ga2BiAu2 structure.

Cell: 7.9284 7.9284 3.3619 Å, 90.00 90.00 90.00°
Element x y z (fractional)
Au  0.3652  0.8652  0.0000
Au  0.8652  0.6348  0.0000
Au  0.6348  0.1348  0.0000
Au  0.1348  0.3652  0.0000
Bi  0.0000  0.0000  0.0000
Bi  0.5000  0.5000  0.0000
Ga  0.1599  0.6599  0.5000
Ga  0.6599  0.8401  0.5000
Ga  0.8401  0.3401  0.5000
Ga  0.3401  0.1599  0.5000

Calculated values
Total magnetization = 0.00 μB/cell
N(E_F) = 3.1 states/eV/cell
Final energy = -3.368 eV/atom
Energy relative to the elements = -71 meV/atom
ΔE to the lowest computed polymorph = 50 meV/atom

Record 7
VASP calculation (GGA-PBE) on a geometry-optimized GaBi3Au4 structure.

Cell: 6.6790 6.6790 6.6790 Å, 90.83 110.20 129.81°
Element x y z (fractional)
Ga  0.0577  0.5000  0.5577
Bi  0.6019  0.2429  0.8448
Bi  0.9113  0.0000  0.9113
Bi  0.6019  0.7571  0.3591
Au  0.2210  0.7317  0.9527
Au  0.2210  0.2683  0.4892
Au  0.5179  0.2498  0.2681
Au  0.0183  0.7502  0.2681

Calculated values
Total magnetization = 0.00 μB/cell
N(E_F) = 3.5 states/eV/cell
Final energy = -3.461 eV/atom
Energy relative to the elements = 12 meV/atom

Record 8
VASP calculation (GGA-PBE) on a geometry-optimized GaBiAu2 structure.

Cell: 3.6130 4.3995 6.3239 Å, 103.20 90.00 114.24°
Element x y z (fractional)
Ga  0.5000  0.0000  0.0000
Bi  0.0000  0.0000  0.5000
Au  0.2377  0.4753  0.1974
Au  0.7623  0.5247  0.8026

Calculated values
Total magnetization = 0.00 μB/cell
N(E_F) = 1.7 states/eV/cell
Final energy = -3.460 eV/atom
Energy relative to the elements = -94 meV/atom

Record 9
VASP calculation (GGA-PBE) on a geometry-optimized GaBi5Au4 structure.

Cell: 4.2901 7.4333 8.5510 Å, 85.29 104.53 90.00°
Element x y z (fractional)
Ga  0.5000  0.0000  0.0000
Bi  0.8287  0.6303  0.6574
Bi  0.8321  0.1782  0.6643
Bi  0.1679  0.8218  0.3357
Bi  0.5000  0.5000  0.0000
Bi  0.1713  0.3697  0.3426
Au  0.3469  0.9048  0.6939
Au  0.9858  0.7924  0.9715
Au  0.6531  0.0952  0.3061
Au  0.0142  0.2076  0.0285

Calculated values
Total magnetization = 0.00 μB/cell
N(E_F) = 3.8 states/eV/cell
Final energy = -3.566 eV/atom
Energy relative to the elements = -12 meV/atom

Record 10
VASP calculation (GGA-PBE) on a geometry-optimized Ga2Bi2Au structure.

Cell: 8.5556 8.5556 3.5406 Å, 90.00 90.00 90.00°
Element x y z (fractional)
Au  0.0000  0.0000  0.0000
Au  0.5000  0.5000  0.0000
Bi  0.3110  0.8110  0.0000
Bi  0.8110  0.6890  0.0000
Bi  0.6890  0.1890  0.0000
Bi  0.1890  0.3110  0.0000
Ga  0.1120  0.6120  0.5000
Ga  0.6120  0.8880  0.5000
Ga  0.8880  0.3880  0.5000
Ga  0.3880  0.1120  0.5000

Calculated values
Total magnetization = 0.00 μB/cell
N(E_F) = 4.4 states/eV/cell
Final energy = -3.249 eV/atom
Energy relative to the elements = 169 meV/atom
ΔE to the lowest computed polymorph = 145 meV/atom

Record 11
VASP calculation (GGA-PBE) on a geometry-optimized GaBiAu structure.

Cell: 4.0623 4.0624 5.1926 Å, 112.92 112.92 90.26°
Element x y z (fractional)
Ga  0.9942  0.9942  0.9884
Bi  0.3297  0.3297  0.6595
Au  0.6761  0.6761  0.3521

Calculated values
Total magnetization = 0.00 μB/cell
N(E_F) = 1.7 states/eV/cell
Final energy = -3.311 eV/atom
Energy relative to the elements = 84 meV/atom
ΔE to the lowest computed polymorph = 121 meV/atom

Record 12
VASP calculation (GGA-PBE) on a geometry-optimized Ga12Bi5Au3 structure.

Cell: 14.0125 14.0125 14.0125 Å, 109.47 109.47 109.47°
Element x y z (fractional)
Au  0.7500  0.3750  0.1250
Au  0.8750  0.7500  0.1250
Au  0.3750  0.7500  0.6250
Au  0.2500  0.1250  0.3750
Au  0.8750  0.1250  0.2500
Au  0.3750  0.6250  0.2500
Au  0.6250  0.3750  0.7500
Au  0.1250  0.8750  0.7500
Au  0.7500  0.8750  0.6250
Au  0.6250  0.2500  0.3750
Au  0.1250  0.2500  0.8750
Au  0.2500  0.6250  0.8750
Bi  0.1250  0.3750  0.2500
Bi  0.0000  0.5000  0.0000
Bi  0.0000  0.0000  0.0000
Bi  0.3750  0.2500  0.1250
Bi  0.5000  0.0000  0.5000
Bi  0.5000  0.5000  0.0000
Bi  0.1250  0.7500  0.3750
Bi  0.7500  0.1250  0.8750
Bi  0.7500  0.6250  0.3750
Bi  0.3750  0.1250  0.7500
Bi  0.6250  0.8750  0.2500
Bi  0.5000  0.5000  0.5000
Bi  0.5000  0.0000  0.0000
Bi  0.0000  0.0000  0.5000
Bi  0.2500  0.3750  0.6250
Bi  0.2500  0.8750  0.1250
Bi  0.0000  0.5000  0.5000
Bi  0.8750  0.2500  0.6250
Bi  0.6250  0.7500  0.8750
Bi  0.8750  0.6250  0.7500
Ga  0.7469  0.1414  0.0787
Ga  0.3318  0.5787  0.4373
Ga  0.9213  0.3586  0.2531
Ga  0.5787  0.2469  0.1414
Ga  0.6055  0.7469  0.6682
Ga  0.9213  0.5627  0.1682
Ga  0.3318  0.7531  0.3945
Ga  0.0627  0.8945  0.1414
Ga  0.5627  0.9213  0.6682
Ga  0.7469  0.6055  0.1682
Ga  0.7531  0.4213  0.3586
Ga  0.8318  0.9373  0.0787
Ga  0.1414  0.7469  0.5787
Ga  0.3586  0.4373  0.1055
Ga  0.1055  0.9373  0.3586
Ga  0.3945  0.1414  0.5627
Ga  0.1055  0.1682  0.2469
Ga  0.4213  0.6682  0.0627
Ga  0.8318  0.8945  0.2531
Ga  0.1414  0.3945  0.0627
Ga  0.3586  0.9213  0.7531
Ga  0.5627  0.6414  0.3945
Ga  0.9373  0.8318  0.5787
Ga  0.7531  0.3318  0.8945
Ga  0.4373  0.3586  0.6055
Ga  0.0627  0.1682  0.4213
Ga  0.2469  0.6682  0.1055
Ga  0.1682  0.1055  0.7469
Ga  0.6414  0.0787  0.2469
Ga  0.8586  0.6055  0.9373
Ga  0.5787  0.3318  0.9373
Ga  0.6055  0.8586  0.4373
Ga  0.8945  0.8318  0.7531
Ga  0.8945  0.0627  0.6414
Ga  0.8586  0.2531  0.4213
Ga  0.1682  0.0627  0.9213
Ga  0.6414  0.5627  0.8945
Ga  0.4373  0.0787  0.3318
Ga  0.2531  0.3945  0.8318
Ga  0.2469  0.5787  0.6414
Ga  0.9373  0.1055  0.8586
Ga  0.6682  0.2469  0.6055
Ga  0.4213  0.7531  0.8586
Ga  0.0787  0.4373  0.8318
Ga  0.3945  0.2531  0.3318
Ga  0.0787  0.6414  0.7469
Ga  0.6682  0.4213  0.5627
Ga  0.2531  0.8586  0.9213

Calculated values
Total magnetization = 0.00 μB/cell
N(E_F) = 35.5 states/eV/cell
Final energy = -3.227 eV/atom
Energy relative to the elements = 51 meV/atom

Record 13
VASP calculation (GGA-PBE) on a geometry-optimized Ga2Bi2Au structure.

Cell: 6.7245 6.7245 5.3882 Å, 90.00 90.00 90.00°
Element x y z (fractional)
Au  0.0000  0.0000  0.0000
Au  0.5000  0.5000  0.0000
Bi  0.1788  0.6788  0.5000
Bi  0.6788  0.8212  0.5000
Bi  0.8212  0.3212  0.5000
Bi  0.3212  0.1788  0.5000
Ga  0.3629  0.8629  0.0000
Ga  0.8629  0.6371  0.0000
Ga  0.6371  0.1371  0.0000
Ga  0.1371  0.3629  0.0000

Calculated values
Total magnetization = 0.00 μB/cell
N(E_F) = 4.6 states/eV/cell
Final energy = -3.394 eV/atom
Energy relative to the elements = 24 meV/atom
ΔE to the lowest computed polymorph = 0 meV/atom

Record 14
VASP calculation (GGA-PBE) on a geometry-optimized GaBiAu2 structure.

Cell: 4.1907 5.6191 7.8042 Å, 90.00 90.00 90.00°
Element x y z (fractional)
Ga  0.7500  0.2500  0.0816
Ga  0.2500  0.7500  0.9184
Bi  0.2500  0.2500  0.5734
Bi  0.7500  0.7500  0.4266
Au  0.2500  0.4976  0.2126
Au  0.7500  0.5024  0.7874
Au  0.7500  0.9976  0.7874
Au  0.2500  0.0024  0.2126

Calculated values
Total magnetization = 0.00 μB/cell
N(E_F) = 3.3 states/eV/cell
Final energy = -3.495 eV/atom
Energy relative to the elements = -129 meV/atom

Record 15
VASP calculation (GGA-PBE) on a geometry-optimized GaBiAu3 structure.

Cell: 5.0369 5.3306 8.8908 Å, 107.44 103.05 90.00°
Element x y z (fractional)
Ga  0.3939  0.1242  0.2485
Ga  0.6061  0.8758  0.7515
Bi  0.1891  0.3916  0.7832
Bi  0.8109  0.6084  0.2168
Au  0.7828  0.0359  0.0718
Au  0.2172  0.9641  0.9282
Au  0.3891  0.6989  0.3977
Au  0.6109  0.3011  0.6023
Au  0.9696  0.7882  0.5763
Au  0.0304  0.2118  0.4237

Calculated values
Total magnetization = 0.00 μB/cell
N(E_F) = 3.7 states/eV/cell
Final energy = -3.394 eV/atom
Energy relative to the elements = -46 meV/atom
ΔE to the lowest computed polymorph = 32 meV/atom

Record 16
VASP calculation (GGA-PBE) on a geometry-optimized GaBiAu structure.

Cell: 4.7503 4.7503 4.7503 Å, 60.00 60.00 60.00°
Element x y z (fractional)
Au  0.2500  0.2500  0.2500
Bi  0.5000  0.5000  0.5000
Ga  0.0000  0.0000  0.0000

Calculated values
Total magnetization = 0.00 μB/cell
N(E_F) = 2.0 states/eV/cell
Final energy = -3.423 eV/atom
Energy relative to the elements = -28 meV/atom
ΔE to the lowest computed polymorph = 9 meV/atom

Record 17
VASP calculation (GGA-PBE) on a geometry-optimized GaBiAu2 structure.

Cell: 4.7722 4.7722 9.1852 Å, 74.94 74.94 90.00°
Element x y z (fractional)
Au  0.5588  0.1250  0.2500
Au  0.1912  0.6250  0.2500
Au  0.3750  0.4412  0.7500
Au  0.8750  0.8088  0.7500
Bi  0.0000  0.0000  0.0000
Bi  0.7500  0.2500  0.5000
Ga  0.5000  0.5000  0.0000
Ga  0.2500  0.7500  0.5000

Calculated values
Total magnetization = 0.00 μB/cell
N(E_F) = 4.2 states/eV/cell
Final energy = -3.374 eV/atom
Energy relative to the elements = -9 meV/atom

Record 18
VASP calculation (GGA-PBE) on a geometry-optimized GaBiAu5 structure.

Cell: 4.0238 4.0238 9.0232 Å, 90.00 90.00 90.00°
Element x y z (fractional)
Ga  0.5000  0.5000  0.0000
Bi  0.0000  0.0000  0.5000
Au  0.0000  0.5000  0.2435
Au  0.0000  0.5000  0.7565
Au  0.5000  0.0000  0.2435
Au  0.5000  0.0000  0.7565
Au  0.0000  0.0000  0.0000

Calculated values
Total magnetization = 0.00 μB/cell
N(E_F) = 3.7 states/eV/cell
Final energy = -3.333 eV/atom
Energy relative to the elements = -5 meV/atom

Record 19
VASP calculation (GGA-PBE) on a geometry-optimized GaBiAu2 structure.

Cell: 3.3618 3.3618 7.4962 Å, 90.00 90.00 90.00°
Element x y z (fractional)
Au  0.0000  0.0000  0.7937
Au  0.0000  0.0000  0.2063
Bi  0.5000  0.5000  0.5000
Ga  0.5000  0.5000  0.0000

Calculated values
Total magnetization = 0.00 μB/cell
N(E_F) = 1.9 states/eV/cell
Final energy = -3.384 eV/atom
Energy relative to the elements = -18 meV/atom

Record 20
VASP calculation (GGA-PBE) on a geometry-optimized GaBi3Au structure.

Cell: 5.4406 5.4406 5.4406 Å, 90.00 90.00 90.00°
Element x y z (fractional)
Au  0.5000  0.5000  0.5000
Bi  0.0000  0.5000  0.0000
Bi  0.0000  0.0000  0.5000
Bi  0.5000  0.0000  0.0000
Ga  0.0000  0.0000  0.0000

Calculated values
Total magnetization = 0.00 μB/cell
N(E_F) = 4.6 states/eV/cell
Final energy = -2.910 eV/atom
Energy relative to the elements = 680 meV/atom
ΔE to the lowest computed polymorph = 669 meV/atom